Density functional theory data (PBE-GGA) for a relaxed CrFeRu3 crystal.

density of states at the Fermi level	12.31	states/eV per cell
polymorph energy (0 for the lowest one)	0.000	eV/atom
DFT total energy	-37.8	eV per formula unit

Lattice parameters (Å, degrees): 4.3523 4.3523 4.3523 90.00 90.00 90.00
Last column: nearest neighbours and their distance in Å.
Space group Pm-3m (No. 221)
One atom of each set of equivalent atoms:
Cr  0.0000  0.0000  0.0000 [1 per cell]  6 Ru 2.18
Fe  0.5000  0.5000  0.5000 [1 per cell]  12 Ru 3.08
Ru  0.0000  0.0000  0.5000 [3 per cell]  2 Cr 2.18

---

Density functional theory data (PBE-GGA) for a relaxed CsIn2Hg2 crystal.

density of states at the Fermi level	4.69	states/eV per cell
polymorph energy (0 for the lowest one)	0.082	eV/atom
DFT total energy	-7.2	eV per formula unit

Lattice parameters (Å, degrees): 9.6299 9.6299 3.4733 90.00 90.00 90.00
Last column: nearest neighbours and their distance in Å.
Space group P4/mbm (No. 127)
One atom of each set of equivalent atoms:
Cs  0.0000  0.0000  0.0000 [2 per cell]  2 Cs 3.47, 4 In 3.82
In  0.1221  0.3779  0.0000 [4 per cell]  6 Hg 3.30-3.37, 3 In 3.33-3.47
Hg  0.1657  0.6657  0.5000 [4 per cell]  6 In 3.30-3.37, 2 Hg 3.47

---

Density functional theory data (PBE-GGA) for a relaxed BaScTiSe2 crystal.

density of states at the Fermi level	5.54	states/eV per cell
formation energy from raw total energies	-0.07	eV/atom
DFT total energy	-23.5	eV per formula unit

Lattice parameters (Å, degrees): 5.0703 5.0703 5.5456 90.00 90.00 90.00
Last column: nearest neighbours and their distance in Å.
Space group P4/mmm (No. 123)
One atom of each set of equivalent atoms:
Ba  0.0000  0.0000  0.0000 [1 per cell]  2 Ti 2.77
Sc  0.5000  0.5000  0.0000 [1 per cell]  4 Ba 3.59, 8 Se 3.76
Ti  0.0000  0.0000  0.5000 [1 per cell]  4 Se 2.54, 2 Ba 2.77
Se  0.0000  0.5000  0.5000 [2 per cell]  2 Ti 2.54

---

Density functional theory data (PBE-GGA) for a relaxed CrCoCu2 crystal.

density of states at the Fermi level	10.84	states/eV per cell
DFT total energy	-23.9	eV per formula unit

Lattice parameters (Å, degrees): 3.4744 3.4744 7.8341 90.00 90.00 90.00
Last column: nearest neighbours and their distance in Å.
Space group I4/mmm (No. 139)
One atom of each set of equivalent atoms:
Cr  0.0000  0.0000  0.0000 [2 per cell]  4 Co 2.46, 8 Cu 2.62
Co  0.0000  0.0000  0.5000 [2 per cell]  4 Cr 2.46, 8 Cu 2.62
Cu  0.0000  0.5000  0.2500 [4 per cell]  4 Cu 2.46, 4 Cr 2.62, 4 Co 2.62

---

Density functional theory data (PBE-GGA) for a relaxed PaVH crystal.

density of states at the Fermi level	3.28	states/eV per cell
polymorph energy (0 for the lowest one)	0.000	eV/atom
DFT total energy	-21.7	eV per formula unit

Lattice parameters (Å, degrees): 3.0993 3.0993 5.0059 90.00 90.00 120.00
Last column: nearest neighbours and their distance in Å.
Space group P3m1 (No. 156)
One atom of each set of equivalent atoms:
Pa  0.0000  0.0000  0.0000 [1 per cell]  3 H 2.50
V  0.6667  0.3333  0.5124 [1 per cell]  3 H 1.97
H  0.3333  0.6667  0.3495 [1 per cell]  3 V 1.97

---

Density functional theory data (PBE-GGA) for a relaxed NdEr2Tm7 crystal.

density of states at the Fermi level	14.05	states/eV per cell
polymorph energy (0 for the lowest one)	0.000	eV/atom
DFT total energy	-44.9	eV per formula unit

Lattice parameters (Å, degrees): 6.0735 7.0269 7.8370 77.14 75.05 73.27
Last column: nearest neighbours and their distance in Å.
Space group P-1 (No. 2)
One atom of each set of equivalent atoms:
Nd  0.0000  0.0000  0.0000 [1 per cell]  10 Tm 3.51-3.52, 2 Er 3.51
Er  0.1997  0.3008  0.5996 [2 per cell]  10 Tm 3.49-3.52, 1 Er 3.50, 1 Nd 3.51
Tm  0.0000  0.5000  0.0000 [1 per cell]  8 Tm 3.51, 2 Er 3.51, 2 Nd 3.51
Tm  0.2011  0.7990  0.5993 [2 per cell]  7 Tm 3.49-3.52, 4 Er 3.50-3.52, 1 Nd 3.51
Tm  0.3997  0.1002  0.2010 [2 per cell]  2 Er 3.50-3.51, 8 Tm 3.50-3.52, 2 Nd 3.51
Tm  0.4008  0.5987  0.2013 [2 per cell]  8 Tm 3.49-3.52, 3 Er 3.49-3.51, 1 Nd 3.52